# 1
# YW2Se

A geometry-optimized YW2Se structure (PBE, Alexandria).

Values from the calculation:
Total moment: 0.00 μB/f.u.
Energy relative to the elements, uncorrected: 25 kJ per mole of atoms

Lattice parameters (Å, degrees): 3.533 5.132 8.584 90.00 90.00 90.00
Space group Cmm2 (No. 35)
Asymmetric unit:
1 Y 0.000 0.000 0.000 x2
2 W 0.000 0.000 0.499 x2
3 W 0.000 0.500 0.716 x2
4 Se 0.000 0.500 0.255 x2

***

# 2
# ReBCl2

A geometry-optimized ReBCl2 structure (PBE, Alexandria).

Values from the calculation:
Total moment: 0.00 μB/f.u.
Energy relative to the lowest polymorph listed for this composition: 0.559 eV per atom
Energy relative to the elements, uncorrected: 164 kJ per mole of atoms

Lattice parameters (Å, degrees): 6.063 6.063 6.063 90.00 90.00 90.00
Space group Fm-3m (No. 225)
Asymmetric unit:
1 Re 0.000 0.000 0.000 x4
2 B 0.000 0.000 0.500 x4
3 Cl 0.250 0.250 0.250 x8